Os4SeBr | the Alexandria database | GGA-PBE | optimized geometry; energy relative to the elements, uncorrected = 1.6499 eV per atom; electronic total energy = -40.18 eV/f.u.; mass density = 14.54 Mg/m³; calculated volume = 105.0 Å³/cell; density of states at the Fermi level = 1.953 states/eV/atom
1.0
0.0000 3.7445 3.7445
3.7445 0.0000 3.7445
3.7445 3.7445 0.0000
Os Br Se
4 1 1
Direct
0.3757 0.8728 0.3757
0.3757 0.3757 0.8728
0.3757 0.3757 0.3757
0.8728 0.3757 0.3757
0.0000 0.0000 0.0000
0.7500 0.7500 0.7500

Ti2SnBrF | the Alexandria database | GGA-PBE | optimized geometry; energy relative to the elements, uncorrected = 0.0029 eV per atom; electronic total energy = -23.32 eV/f.u.; mass density = 3.96 Mg/m³; calculated volume = 131.4 Å³/cell; density of states at the Fermi level = 1.386 states/eV/atom
1.0
5.4377 0.0000 0.0000
0.0000 4.4438 0.0000
0.0000 0.0000 5.4377
Ti Sn F Br
2 1 1 1
Direct
0.0000 0.0000 0.5000
0.5000 0.0000 0.0000
0.0000 0.0000 0.0000
0.0000 0.5000 0.0000
0.5000 0.5000 0.5000

LiDy2Zn | the Alexandria database | GGA-PBE | optimized geometry; E above lowest polymorph = 0.00 eV per formula unit; formation energy = -0.12 eV/atom; electronic total energy = -12.89 eV/f.u.; mass density = 7.01 Mg/m³; calculated volume = 94.1 Å³/cell; density of states at the Fermi level = 1.105 states/eV/atom
1.0
3.6541 0.0000 0.0000
0.0000 5.0743 0.0000
0.0000 0.0000 5.0743
Li Zn Dy
1 1 2
Direct
0.5000 0.5000 0.5000
0.5000 0.0000 0.0000
0.0000 0.5000 0.0000
0.0000 0.0000 0.5000

MgAg2Os | the Alexandria database | GGA-PBE | optimized geometry; formation energy = 0.36 eV/atom; electronic total energy = -17.10 eV/f.u.; mass density = 10.72 Mg/m³; calculated volume = 66.7 Å³/cell; density of states at the Fermi level = 0.508 states/eV/atom
1.0
-0.7332 -1.3773 -4.1994
2.5967 -0.6394 -0.2437
0.3183 -5.4492 1.7317
Ag Os Mg
2 1 1
Direct
0.5000 0.3978 0.2429
0.0000 0.0409 0.0075
0.5000 0.7111 0.7260
0.0000 0.3502 0.5236

SmErPdPt | the Alexandria database | GGA-PBE | optimized geometry; E above lowest polymorph = 0.00 eV per formula unit; formation energy = -1.08 eV/atom; electronic total energy = -24.82 eV/f.u.; mass density = 11.31 Mg/m³; calculated volume = 90.9 Å³/cell; density of states at the Fermi level = 0.654 states/eV/atom
1.0
3.7883 0.0000 0.0000
0.0000 4.5074 0.0000
-1.8941 0.0000 5.3225
Er Sm Pd Pt
1 1 1 1
Direct
0.8637 0.5000 0.7274
0.1384 0.0000 0.2768
0.5860 0.5000 0.1721
0.4119 0.0000 0.8238

SmErThSc | the Alexandria database | GGA-PBE | optimized geometry; E above lowest polymorph = 0.00 eV per formula unit; formation energy = 0.03 eV/atom; electronic total energy = -22.90 eV/f.u.; mass density = 8.17 Mg/m³; calculated volume = 120.8 Å³/cell; density of states at the Fermi level = 1.645 states/eV/atom
1.0
3.5341 -0.0003 0.0002
-1.7665 3.0616 0.0014
-1.7673 -1.0260 11.1684
Er Th Sm Sc
1 1 1 1
Direct
0.4738 0.1344 0.6238
0.3071 0.5511 0.8740
0.9649 0.3810 0.3603
0.1321 0.9643 0.1115

AlIn2Sb | the Alexandria database | GGA-PBE | optimized geometry; E above lowest polymorph = 0.44 eV per formula unit; energy relative to the elements, uncorrected = 0.1816 eV per atom; electronic total energy = -12.62 eV/f.u.; mass density = 6.16 Mg/m³; calculated volume = 102.1 Å³/cell; density of states at the Fermi level = 0.509 states/eV/atom
1.0
0.0000 3.7093 3.7093
3.7093 0.0000 3.7093
3.7093 3.7093 0.0000
Sb In Al
1 2 1
Direct
0.5000 0.5000 0.5000
0.2500 0.2500 0.2500
0.7500 0.7500 0.7500
0.0000 0.0000 0.0000

TaSbPb2 | the Alexandria database | GGA-PBE | optimized geometry; energy relative to the elements, uncorrected = 0.6800 eV per atom; electronic total energy = -20.67 eV/f.u.; mass density = 11.62 Mg/m³; calculated volume = 102.4 Å³/cell; density of states at the Fermi level = 1.020 states/eV/atom
1.0
-4.4263 -1.4801 -2.4085
-1.1960 -5.0987 -0.3950
-3.9736 -1.9897 2.7991
Sb Pb Ta
1 2 1
Direct
0.5000 0.5000 0.5000
0.0000 0.0000 0.0000
0.2500 0.2500 0.2500
0.7500 0.7500 0.7500

Please write out number 2 again, unchanged.
Ti2SnBrF | the Alexandria database | GGA-PBE | optimized geometry; energy relative to the elements, uncorrected = 0.0029 eV per atom; electronic total energy = -23.32 eV/f.u.; mass density = 3.96 Mg/m³; calculated volume = 131.4 Å³/cell; density of states at the Fermi level = 1.386 states/eV/atom
1.0
5.4377 0.0000 0.0000
0.0000 4.4438 0.0000
0.0000 0.0000 5.4377
Ti Sn F Br
2 1 1 1
Direct
0.0000 0.0000 0.5000
0.5000 0.0000 0.0000
0.0000 0.0000 0.0000
0.0000 0.5000 0.0000
0.5000 0.5000 0.5000

Question: Which formula does entry 8 have?
Answer: TaSbPb2

Question: What is the electronic total energy in the seventh record?
Answer: -12.62 eV/f.u.

Question: Look up the calculated volume of the third one.
Answer: 94.1 Å³/cell